# 1
# NbAl2H2 GGA-PBEsol optimized geometry
data_NbAl2H2
_chemical_formula_sum 'Nb2 Al4 H4'
_space_group_name_H-M_alt 'P 4/m b m'
_space_group_IT_number 127
_space_group_name_Hall '-P 4 2ab'
_cell_length_a 5.520
_cell_length_b 5.520
_cell_length_c 3.719
_cell_angle_alpha 90.00
_cell_angle_beta 90.00
_cell_angle_gamma 90.00
loop_
_atom_site_label
_atom_site_type_symbol
_atom_site_fract_x
_atom_site_fract_y
_atom_site_fract_z
Nb1 Nb 0.000 0.000 0.000
Al1 Al 0.187 0.313 0.500
H1 H 0.189 0.689 0.000
# Crystal system: tetragonal
# Electronic total energy: -5.09 eV/atom
# DOS(E_F): 0.34 states/eV per atom

***

# 2
# TiPF2 GGA-PBEsol optimized geometry
data_TiPF2
_chemical_formula_sum 'Ti3 P3 F6'
_space_group_name_H-M_alt 'R -3 m'
_space_group_IT_number 166
_space_group_name_Hall '-R 3 2"'
_cell_length_a 2.6422
_cell_length_b 2.6422
_cell_length_c 29.5226
_cell_angle_alpha 90.00
_cell_angle_beta 90.00
_cell_angle_gamma 120.00
loop_
_atom_site_label
_atom_site_type_symbol
_atom_site_fract_x
_atom_site_fract_y
_atom_site_fract_z
Ti1 Ti 0.0000 0.0000 0.0000
P1 P 0.0000 0.0000 0.5000
F1 F 0.0000 0.0000 0.3804
# Crystal system: trigonal
# Offset from the most stable computed form: 0 meV/atom
# E_form (uncorrected): -1.755 eV/atom
# Electronic total energy: -6.25 eV/atom
# DOS(E_F): 0.28 states/eV per atom

***

# 3
# HfTlAsSe2 GGA-PBEsol optimized geometry
data_HfTlAsSe2
_chemical_formula_sum 'Hf1 Tl1 As1 Se2'
_space_group_name_H-M_alt 'P 4/m m m'
_space_group_IT_number 123
_space_group_name_Hall '-P 4 2'
_cell_length_a 5.110
_cell_length_b 5.110
_cell_length_c 5.091
_cell_angle_alpha 90.00
_cell_angle_beta 90.00
_cell_angle_gamma 90.00
loop_
_atom_site_label
_atom_site_type_symbol
_atom_site_fract_x
_atom_site_fract_y
_atom_site_fract_z
Hf1 Hf 0.000 0.000 0.000
Tl1 Tl 0.500 0.500 0.500
As1 As 0.500 0.500 0.000
Se1 Se 0.000 0.500 0.500
# Crystal system: tetragonal
# E_form (uncorrected): 0.915 eV/atom
# Electronic total energy: -4.27 eV/atom
# DOS(E_F): 0.71 states/eV per atom

***

# 4
# TaCu2As GGA-PBEsol optimized geometry
data_TaCu2As
_chemical_formula_sum 'Ta1 Cu2 As1'
_space_group_name_H-M_alt 'P 4/m m m'
_space_group_IT_number 123
_space_group_name_Hall '-P 4 2'
_cell_length_a 3.725
_cell_length_b 3.725
_cell_length_c 4.004
_cell_angle_alpha 90.00
_cell_angle_beta 90.00
_cell_angle_gamma 90.00
loop_
_atom_site_label
_atom_site_type_symbol
_atom_site_fract_x
_atom_site_fract_y
_atom_site_fract_z
Ta1 Ta 0.000 0.000 0.000
Cu1 Cu 0.000 0.500 0.500
As1 As 0.500 0.500 0.000
# Energy of formation from the pure elements: 0.00 eV per atom
# Crystal system: tetragonal
# Electronic total energy: -6.58 eV/atom
# DOS(E_F): 0.52 states/eV per atom

***

Question: Which formula does entry 4 have?
Answer: TaCu2As

***

Question: Which value of DOS(E_F) does entry 4 give?
Answer: 0.52 states/eV per atom

***

Question: The lowest DOS(E_F) belongs to which entry?
Answer: TiPF2